## Nd2YTmTl2 (GGA-PBE)

Data for a geometry-optimized Nd2YTmTl2 structure.

spin magnetization: 0.0000 μB per atom
calculated formation energy: -1.65 eV/f.u.
density of states at the Fermi level: 1.10 states/eV/atom

Unit cell a=5.122 b=6.919 c=10.176 alpha=90.00 beta=90.00 gamma=90.00
Fractional positions:
1 Tm 0.500 0.174 0.686
2 Nd 0.500 0.560 0.955
3 Nd 0.000 0.332 0.187
4 Tl 0.000 0.300 0.855
5 Y 0.000 0.460 0.543
6 Tl 0.000 0.800 0.145
7 Nd 0.500 0.060 0.045
8 Nd 0.000 0.832 0.813
9 Tl 0.500 0.220 0.378
10 Y 0.000 0.960 0.457
11 Tl 0.500 0.720 0.622
12 Tm 0.500 0.674 0.314

***

## NaHgAs2 (GGA-PBE)

Data for a geometry-optimized NaHgAs2 structure.

spin magnetization: 0.0000 μB per atom
calculated formation energy: 0.23 eV/f.u.
density of states at the Fermi level: 0.69 states/eV/atom

Unit cell a=8.135 b=8.135 c=6.424 alpha=50.71 beta=50.71 gamma=90.00
Fractional positions:
1 Na 0.500 0.500 0.000
2 As 0.875 0.922 0.750
3 Hg 0.000 0.000 0.000
4 As 0.672 0.125 0.250
5 Na 0.250 0.750 0.500
6 As 0.375 0.328 0.750
7 Hg 0.750 0.250 0.500
8 As 0.078 0.625 0.250

***

## Fe2SbTeOs (GGA-PBE)

Data for a geometry-optimized Fe2SbTeOs structure.

formation energy (no corrections): 1352 meV per atom
spin magnetization: 0.0197 μB per atom
density of states at the Fermi level: 1.52 states/eV/atom

Unit cell a=4.545 b=5.218 c=4.545 alpha=90.00 beta=90.00 gamma=90.00
Last column: magnetic moment on the atom in μB.
Fractional positions:
1 Sb 0.500 0.500 0.500  0.03
2 Te 0.000 0.500 0.000  0.01
3 Fe 0.000 0.000 0.500  -0.05
4 Os 0.000 0.000 0.000  0.01
5 Fe 0.500 0.000 0.000  -0.09

***

## Co2ReHg (GGA-PBE)

Data for a geometry-optimized Co2ReHg structure.

spin magnetization: 1.0529 μB per atom
calculated formation energy: 3.21 eV/f.u.
density of states at the Fermi level: 1.77 states/eV/atom

Unit cell a=3.098 b=4.501 c=4.215 alpha=90.00 beta=90.00 gamma=90.00
Last column: magnetic moment on the atom in μB.
Fractional positions:
1 Co 0.000 0.000 0.000  1.66
2 Re 0.000 0.500 0.500  0.71
3 Hg 0.500 0.000 0.500  0.02
4 Co 0.500 0.500 0.000  1.82

***

## AcEr2Sc (GGA-PBE)

Data for a geometry-optimized AcEr2Sc structure.

energy relative to the lowest polymorph listed for this composition: 0.000 eV per atom
spin magnetization: 0.0001 μB per atom
calculated formation energy: 0.37 eV/f.u.
density of states at the Fermi level: 1.66 states/eV/atom

Unit cell a=3.927 b=3.927 c=8.519 alpha=90.00 beta=90.00 gamma=90.00
Fractional positions:
1 Er 0.000 0.000 0.206
2 Ac 0.500 0.500 0.500
3 Er 0.000 0.000 0.794
4 Sc 0.500 0.500 0.000

***

## Cs2SbPd (GGA-PBE)

Data for a geometry-optimized Cs2SbPd structure.

formation energy (no corrections): -298 meV per atom
energy relative to the lowest polymorph listed for this composition: 0.035 eV per atom
spin magnetization: 0.0000 μB per atom
density of states at the Fermi level: 0.25 states/eV/atom

Unit cell a=13.423 b=13.423 c=9.824 alpha=46.91 beta=46.91 gamma=90.00
Fractional positions:
1 Pd 0.500 0.500 0.000
2 Cs 0.307 0.625 0.250
3 Cs 0.443 0.125 0.250
4 Cs 0.375 0.557 0.750
5 Sb 0.750 0.250 0.500
6 Sb 0.000 0.000 0.000
7 Pd 0.250 0.750 0.500
8 Cs 0.875 0.693 0.750